1.
Density functional theory data (PBE) for a relaxed LiVZn crystal.

Lattice parameters (Å, degrees): 2.6351 4.8561 7.1456 78.44 80.30 74.35
Closest atoms and distances in Å follow each position.
Positions (direct):
Li 0.0000 0.0000 0.0000  4 Li 2.39-2.64, 1 Zn 2.62
Li 0.4326 0.5026 0.9878  4 Li 2.39-2.64
V 0.0135 0.1811 0.3345  4 V 2.36-2.64
V 0.5872 0.7135 0.3563  4 V 2.36-2.64
Zn 0.1962 0.3385 0.6513  5 Zn 2.47-2.69, 2 V 2.68-2.75, 1 Li 2.75
Zn 0.8508 0.8548 0.6839  5 Zn 2.47-2.69, 2 Li 2.62-2.75, 1 V 2.71

Computed properties:
For the total energy, the calculation gives -0.29097 Ry per atom. The energy relative to the elements comes out at 0.143 eV per atom. For the relative energy among the computed polymorphs, the calculation gives 0.136 eV per atom.

***

2.
Density functional theory data (PBE) for a relaxed Ga2PN crystal.

Lattice parameters (Å, degrees): 6.0535 6.0535 6.0535 90.00 90.00 90.00
Closest atoms and distances in Å follow each position.
Positions (direct):
Ga 0.2500 0.2500 0.2500  4 P 2.62, 4 N 2.62
Ga 0.2500 0.2500 0.7500  4 P 2.62, 4 N 2.62
Ga 0.2500 0.7500 0.2500  4 P 2.62, 4 N 2.62
Ga 0.2500 0.7500 0.7500  4 P 2.62, 4 N 2.62
Ga 0.7500 0.2500 0.2500  4 P 2.62, 4 N 2.62
Ga 0.7500 0.2500 0.7500  4 P 2.62, 4 N 2.62
Ga 0.7500 0.7500 0.2500  4 P 2.62, 4 N 2.62
Ga 0.7500 0.7500 0.7500  4 P 2.62, 4 N 2.62
P 0.0000 0.0000 0.0000  8 Ga 2.62
P 0.0000 0.5000 0.5000  8 Ga 2.62
P 0.5000 0.0000 0.5000  8 Ga 2.62
P 0.5000 0.5000 0.0000  8 Ga 2.62
N 0.0000 0.0000 0.5000  8 Ga 2.62
N 0.0000 0.5000 0.0000  8 Ga 2.62
N 0.5000 0.0000 0.0000  8 Ga 2.62
N 0.5000 0.5000 0.5000  8 Ga 2.62

Computed properties:
For the total energy, the calculation gives -0.29672 Ry per atom. Its uncorrected formation energy is 910.1 meV per atom. For the relative energy among the computed polymorphs, the calculation gives 1.218 eV per atom.

***

3.
Density functional theory data (PBE) for a relaxed AcPm2Ag crystal.

Lattice parameters (Å, degrees): 3.8225 3.8225 32.2772 90.00 90.00 120.00
Closest atoms and distances in Å follow each position.
Positions (direct):
Ac 0.0000 0.0000 0.0000  6 Ac 3.82, 6 Pm 3.84-3.85
Ac 0.3333 0.6667 0.6667  6 Ac 3.82, 6 Pm 3.84-3.85
Ac 0.6667 0.3333 0.3333  6 Ac 3.82, 6 Pm 3.84-3.85
Pm 0.0000 0.0000 0.5693  3 Ag 3.14
Pm 0.0000 0.0000 0.7644  3 Ag 3.14
Pm 0.3333 0.6667 0.2359  3 Ag 3.14
Pm 0.3333 0.6667 0.4310  3 Ag 3.14
Pm 0.6667 0.3333 0.0977  3 Ag 3.14
Pm 0.6667 0.3333 0.9026  3 Ag 3.14
Ag 0.0000 0.0000 0.1667  6 Pm 3.14
Ag 0.3333 0.6667 0.8334  6 Pm 3.14
Ag 0.6667 0.3333 0.5000  6 Pm 3.14

Computed properties:
For the total energy, the calculation gives -0.30013 Ry per atom. The energy relative to the elements comes out at 0.032 eV per atom. For the relative energy among the computed polymorphs, the calculation gives 0.134 eV per atom.

***

4.
Density functional theory data (PBE) for a relaxed SbRu2Pb crystal.

Lattice parameters (Å, degrees): 3.2625 3.2625 24.5322 90.00 90.00 120.00
Closest atoms and distances in Å follow each position.
Positions (direct):
Sb 0.0000 0.0000 0.0000  6 Ru 2.68
Sb 0.3333 0.6667 0.6667  6 Ru 2.68
Sb 0.6667 0.3333 0.3333  6 Ru 2.68
Ru 0.0000 0.0000 0.2557  3 Sb 2.68, 3 Pb 2.88
Ru 0.0000 0.0000 0.7443  3 Sb 2.68, 3 Pb 2.88
Ru 0.3333 0.6667 0.4110  3 Sb 2.68, 3 Pb 2.88
Ru 0.3333 0.6667 0.9224  3 Sb 2.68, 3 Pb 2.88
Ru 0.6667 0.3333 0.0776  3 Sb 2.68, 3 Pb 2.88
Ru 0.6667 0.3333 0.5890  3 Sb 2.68, 3 Pb 2.88
Pb 0.0000 0.0000 0.5000  6 Ru 2.88
Pb 0.3333 0.6667 0.1667  6 Ru 2.88
Pb 0.6667 0.3333 0.8333  6 Ru 2.88

Computed properties:
For the total energy, the calculation gives -0.46066 Ry per atom. Its uncorrected formation energy is 328.1 meV per atom.